# KTiNb2

A relaxed KTiNb2 crystal (GGA-PBEsol, Alexandria via LeMat-Bulk).

Unit cell a=6.793 b=6.793 c=6.793 alpha=90.00 beta=90.00 gamma=90.00
Space group Fm-3m (No. 225)
Unique sites:
K: 0.000 0.000 0.000 [4 per cell]
Ti: 0.000 0.000 0.500 [4 per cell]
Nb: 0.250 0.250 0.250 [8 per cell]

## Properties
**ΔE_f**: 5.69 eV per formula unit
**Calculated total energy**: -0.4668 Ry/atom
**Calculated volume**: 78.4 Å³/f.u.
**M_tot**: 0.0 μB per cell